VASP calculation (PBE-GGA) on a relaxed ZrAl3Ni2 crystal.

Values from the calculation:
Energy of formation from the pure elements: -0.38 eV per atom
Offset from the most stable computed form: 0.1998 eV/atom

a = 5.6878 Å, b = 5.6878 Å, c = 6.4767 Å
α = 90.00°, β = 90.00°, γ = 120.00°
Space group P-3m1 (No. 164)
Symmetry-distinct sites (fractional):
Zr: 0.3333 0.6667 0.3418 (multiplicity 2)
Al: 0.1668 0.3336 0.7081 (multiplicity 6)
Ni: 0.0000 0.0000 0.0000 (multiplicity 1)
Ni: 0.0000 0.5000 0.0000 (multiplicity 3)